Entry 1:
This record from the Alexandria database describes an optimized crystal structure of Na2BeNiH6. The functional is PBE.

Space group: P-3m1, No. 164
DOS(E_F), states/eV per cell: 2.73
Final energy, eV per atom: -3.371

a = 4.239 Å, b = 4.983 Å, c = 4.983 Å
α = 120.00°, β = 90.00°, γ = 90.00°
Atoms (fractional coordinates):
H  0.251  0.854  0.146
H  0.749  0.708  0.854
H  0.251  0.292  0.146
H  0.251  0.854  0.708
H  0.749  0.146  0.292
H  0.749  0.146  0.854
Na  0.761  0.667  0.333
Na  0.239  0.333  0.667
Be  0.500  0.000  0.000
Ni  0.000  0.000  0.000

---

Entry 2:
This record from the Alexandria database describes an optimized crystal structure of NaBeNiH6. The functional is PBE.

Space group: P312, No. 149
DOS(E_F), states/eV per cell: 1.12
Final energy, eV per atom: -3.519

a = 4.197 Å, b = 4.197 Å, c = 4.623 Å
α = 90.00°, β = 90.00°, γ = 60.00°
Atoms (fractional coordinates):
H  0.552  0.445  0.714
H  0.445  0.004  0.714
H  0.004  0.445  0.286
H  0.551  0.004  0.286
H  0.445  0.551  0.286
H  0.004  0.552  0.714
Ni  0.333  0.333  0.500
Be  0.667  0.667  0.500
Na  0.000  0.000  0.000

---

Entry 3:
This record from the Alexandria database describes an optimized crystal structure of Na2BeH2O. The functional is PBE.

Space group: Cmc2_1, No. 36
DOS(E_F), states/eV per cell: 0.00
Final energy, eV per atom: -3.937

a = 5.251 Å, b = 5.513 Å, c = 5.637 Å
α = 119.28°, β = 90.00°, γ = 90.00°
Atoms (fractional coordinates):
O  0.445  0.984  0.000
O  0.945  0.016  0.000
H  0.723  0.536  0.740
H  0.223  0.464  0.260
H  0.223  0.204  0.740
H  0.723  0.796  0.260
Na  0.188  0.883  0.292
Na  0.188  0.591  0.708
Na  0.688  0.409  0.292
Na  0.688  0.117  0.708
Be  0.705  0.847  0.000
Be  0.205  0.153  0.000

---

Repeat the third record exactly.
This record from the Alexandria database describes an optimized crystal structure of Na2BeH2O. The functional is PBE.

Space group: Cmc2_1, No. 36
DOS(E_F), states/eV per cell: 0.00
Final energy, eV per atom: -3.937

a = 5.251 Å, b = 5.513 Å, c = 5.637 Å
α = 119.28°, β = 90.00°, γ = 90.00°
Atoms (fractional coordinates):
O  0.445  0.984  0.000
O  0.945  0.016  0.000
H  0.723  0.536  0.740
H  0.223  0.464  0.260
H  0.223  0.204  0.740
H  0.723  0.796  0.260
Na  0.188  0.883  0.292
Na  0.188  0.591  0.708
Na  0.688  0.409  0.292
Na  0.688  0.117  0.708
Be  0.705  0.847  0.000
Be  0.205  0.153  0.000